Entry 1:
## ErTmN (PBE)

Data for a relaxed ErTmN crystal.

Output
energy above the lowest structure with this stoichiometry	0.0	kJ per mole of atoms

```
ErTmN
1.0
-3.428 0.226 0.266
1.720 -2.351 1.840
0.592 3.848 4.365
Tm Er N
1 1 1
direct
0.333 0.667 0.559
0.000 0.000 0.106
0.667 0.333 0.336
```

Entry 2:
## Er2TmUN4 (PBE)

Data for a relaxed Er2TmUN4 crystal.

Output
final energy	-8.951	eV/atom

```
Er2TmUN4
1.0
3.420 0.000 0.000
0.000 5.911 0.127
0.000 -2.045 5.552
N Er Tm U
4 2 1 1
direct
0.500 0.245 0.243
0.500 0.755 0.757
0.000 0.758 0.239
0.000 0.242 0.761
0.000 0.500 0.500
0.500 0.000 0.500
0.500 0.500 0.000
0.000 0.000 0.000
```

Entry 3:
## ErTm2UN4 (PBE)

Data for a relaxed ErTm2UN4 crystal.

Output
final energy	-8.945	eV/atom

```
ErTm2UN4
1.0
3.413 0.000 0.000
0.000 5.906 0.127
0.000 -2.042 5.540
Tm N U Er
2 4 1 1
direct
0.500 0.000 0.500
0.000 0.500 0.500
0.500 0.754 0.753
0.000 0.760 0.243
0.000 0.240 0.757
0.500 0.246 0.247
0.000 0.000 0.000
0.500 0.500 0.000
```

Entry 4:
## ErTmW2N6 (PBE)

Data for a relaxed ErTmW2N6 crystal.

Output
final energy	-9.515	eV/atom

```
ErTmW2N6
1.0
-4.998 3.545 -1.206
-5.329 -2.197 4.558
0.167 5.613 4.740
N W Tm Er
12 4 2 2
direct
0.846 0.002 0.216
0.419 0.339 0.374
0.835 0.372 0.887
0.335 0.887 0.372
0.581 0.661 0.626
0.346 0.216 0.002
0.154 0.998 0.784
0.919 0.374 0.339
0.654 0.784 0.998
0.665 0.113 0.628
0.081 0.626 0.661
0.165 0.628 0.113
0.777 0.620 0.799
0.723 0.201 0.380
0.223 0.380 0.201
0.277 0.799 0.620
0.750 0.089 0.911
0.250 0.911 0.089
0.750 0.715 0.285
0.250 0.285 0.715
```

Entry 5:
## YEr2TmN4 (PBE)

Data for a relaxed YEr2TmN4 crystal.

Output
final energy	-8.440	eV/atom

```
YEr2TmN4
1.0
-3.222 -0.600 -1.027
-0.847 -3.523 4.717
-1.488 5.584 1.406
Tm Y N Er
1 1 4 2
direct
0.000 0.000 0.000
0.500 0.500 0.000
0.500 0.752 0.750
0.000 0.753 0.252
0.500 0.248 0.250
0.000 0.247 0.748
0.500 0.000 0.500
0.000 0.500 0.500
```

Entry 6:
## Y2ErTmN4 (PBE)

Data for a relaxed Y2ErTmN4 crystal.

Output
final energy	-8.655	eV/atom

```
Y2ErTmN4
1.0
3.447 0.000 0.000
0.000 5.968 0.105
0.000 -2.087 5.594
N Y Er Tm
4 2 1 1
direct
0.000 0.251 0.754
0.500 0.752 0.755
0.000 0.749 0.246
0.500 0.248 0.245
0.500 0.000 0.500
0.000 0.500 0.500
0.500 0.500 0.000
0.000 0.000 0.000
```

Entry 7:
## Er2UN3 (PBE)

Data for a relaxed Er2UN3 crystal.

Output
final energy	-9.171	eV/atom

```
Er2UN3
1.0
3.421 0.000 0.000
-1.711 8.800 -1.790
0.000 -0.801 5.869
U Er N
2 4 6
direct
0.500 0.000 0.000
0.000 0.000 0.500
0.669 0.339 0.836
0.169 0.339 0.336
0.331 0.661 0.164
0.831 0.661 0.664
0.081 0.163 0.915
0.419 0.837 0.585
0.750 0.500 0.250
0.581 0.163 0.415
0.919 0.837 0.085
0.250 0.500 0.750
```

Entry 8:
## Er3UN4 (PBE)

Data for a relaxed Er3UN4 crystal.

Output
final energy	-8.952	eV/atom

```
Er3UN4
1.0
4.436 0.000 -1.969
-0.874 4.349 -1.969
-0.028 -0.035 5.918
N Er U
4 3 1
direct
0.765 0.765 0.529
0.235 0.235 0.471
0.000 0.500 0.000
0.500 0.000 0.000
0.250 0.750 0.500
0.500 0.500 0.000
0.750 0.250 0.500
0.000 0.000 0.000
```

Entry 9:
## ErUN (PBE)

Data for a relaxed ErUN crystal.

Output
energy above the lowest structure with this stoichiometry	0.0	kJ per mole of atoms

```
ErUN
1.0
3.168 0.000 0.000
0.000 3.168 0.000
-1.584 -1.584 6.427
N Er U
1 1 1
direct
0.487 0.487 0.974
0.040 0.040 0.080
0.323 0.323 0.646
```

Entry 10:
## ErUN2 (PBE)

Data for a relaxed ErUN2 crystal.

Output
final energy	-9.400	eV/atom

```
ErUN2
1.0
-0.831 3.186 0.599
-3.150 1.026 -0.479
-2.644 -0.001 5.688
N U Er
2 1 1
direct
0.081 0.081 0.757
0.249 0.249 0.253
0.498 0.498 0.505
0.672 0.672 0.985
```

Entry 11:
## ErU4N5 (PBE)

Data for a relaxed ErU4N5 crystal.

Output
final energy	-10.522	eV/atom

```
ErU4N5
1.0
-3.929 -2.399 -1.501
-0.334 -5.591 2.000
-4.689 0.527 3.621
N U Er
5 4 1
direct
0.102 0.600 0.199
0.900 0.400 0.801
0.702 0.199 0.400
0.301 0.801 0.600
0.501 0.000 0.000
0.400 0.401 0.801
0.801 0.801 0.599
0.201 0.199 0.401
0.602 0.599 0.199
0.001 0.000 0.000
```

Entry 12:
## ErUN2 (PBE)

Data for a relaxed ErUN2 crystal.

Output
final energy	-9.654	eV/atom

```
ErUN2
1.0
-2.958 -0.257 -1.730
-1.210 -2.154 2.389
-1.773 3.741 2.475
N U Er
2 1 1
direct
0.000 0.000 0.500
0.500 0.500 0.000
0.000 0.000 0.000
0.500 0.500 0.500
```

Entry 13:
## ErUN (PBE)

Data for a relaxed ErUN crystal.

Output
energy above the lowest structure with this stoichiometry	1.3	kJ per mole of atoms

```
ErUN
1.0
-2.580 -1.378 1.305
4.135 0.174 4.430
-1.836 4.881 1.523
N U Er
2 2 2
direct
0.882 0.765 0.750
0.118 0.235 0.250
0.500 0.000 0.500
0.500 0.000 0.000
0.777 0.555 0.250
0.223 0.445 0.750
```

Entry 14:
## ErU2N4 (PBE)

Data for a relaxed ErU2N4 crystal.

Output
final energy	-10.032	eV/atom

```
ErU2N4
1.0
3.366 0.000 0.000
-1.683 5.658 0.000
0.000 0.000 10.530
Er U N
2 4 8
direct
0.609 0.218 0.750
0.391 0.782 0.250
0.130 0.261 0.072
0.130 0.261 0.428
0.870 0.739 0.928
0.870 0.739 0.572
0.968 0.936 0.750
0.032 0.064 0.250
0.227 0.455 0.609
0.773 0.545 0.109
0.500 0.000 0.500
0.500 0.000 0.000
0.773 0.545 0.391
0.227 0.455 0.891
```

Entry 15:
## ErU3N4 (PBE)

Data for a relaxed ErU3N4 crystal.

Output
final energy	-10.377	eV/atom

```
ErU3N4
1.0
4.421 0.004 -1.960
-0.872 4.334 -1.960
-0.011 -0.014 5.941
N Er U
4 1 3
direct
0.750 0.750 0.500
0.500 0.000 0.000
0.250 0.250 0.500
0.000 0.500 0.000
0.000 0.000 0.000
0.500 0.500 0.000
0.250 0.750 0.500
0.750 0.250 0.500
```

Entry 16:
## ErUN2 (PBE)

Data for a relaxed ErUN2 crystal.

Output
final energy	-9.614	eV/atom

```
ErUN2
1.0
3.420 0.000 0.000
-1.710 2.962 0.000
0.000 0.000 11.350
U N Er
2 4 2
direct
0.000 0.000 0.000
0.000 0.000 0.500
0.667 0.333 0.882
0.333 0.667 0.382
0.667 0.333 0.618
0.333 0.667 0.118
0.667 0.333 0.250
0.333 0.667 0.750
```

Entry 17:
## Er3UN4 (PBE)

Data for a relaxed Er3UN4 crystal.

Output
final energy	-8.953	eV/atom

```
Er3UN4
1.0
3.426 0.000 0.000
0.000 5.925 -0.032
0.000 -1.899 5.613
N Er U
4 3 1
direct
0.000 0.244 0.244
0.500 0.760 0.240
0.000 0.756 0.756
0.500 0.240 0.760
0.000 0.000 0.500
0.500 0.500 0.500
0.000 0.500 0.000
0.500 0.000 0.000
```

Entry 18:
## Y3Er2UN6 (PBE)

Data for a relaxed Y3Er2UN6 crystal.

Output
final energy	-9.174	eV/atom

```
Y3Er2UN6
1.0
-4.919 -1.454 3.046
2.659 -4.050 -3.480
3.931 0.182 4.493
N Er U Y
6 2 1 3
direct
0.603 0.921 0.762
0.079 0.397 0.238
0.397 0.079 0.238
0.761 0.761 0.235
0.239 0.239 0.765
0.921 0.603 0.762
0.334 0.666 0.000
0.666 0.334 0.000
0.000 0.000 0.000
0.500 0.500 0.500
0.168 0.832 0.500
0.832 0.168 0.500
```

Entry 19:
## ErZrU2N4 (PBE)

Data for a relaxed ErZrU2N4 crystal.

Output
final energy	-10.155	eV/atom

```
ErZrU2N4
1.0
3.367 0.000 0.000
0.000 5.848 0.102
0.000 -2.042 5.568
U Er N Zr
2 1 4 1
direct
0.000 0.500 0.500
0.500 0.000 0.500
0.500 0.500 0.000
0.500 0.242 0.244
0.500 0.758 0.756
0.000 0.756 0.248
0.000 0.244 0.752
0.000 0.000 0.000
```

Entry 20:
## ErVN (PBE)

Data for a relaxed ErVN crystal.

Output
energy above the lowest structure with this stoichiometry	0.0	kJ per mole of atoms

```
ErVN
1.0
-0.871 -3.004 0.978
0.231 -1.072 -3.088
8.224 0.160 2.303
V N Er
2 2 2
direct
0.000 0.500 0.000
0.500 0.000 0.000
0.090 0.090 0.180
0.910 0.910 0.820
0.654 0.654 0.307
0.346 0.346 0.693
```